# 1
## CaAl2Tl2 (PBE)

Data for crystalline CaAl2Tl2 at its relaxed geometry.

abc: 4.0876 4.0876 15.4094
angles: 90.00 90.00 90.00
Closest atoms and distances in Å follow each position.
Space group I4/mmm (No. 139)
Unique sites:
Ca (0.0000, 0.0000, 0.0000) x2  8 Tl 3.38
Al (0.0000, 0.5000, 0.2500) x4  4 Al 2.89, 4 Tl 2.93
Tl (0.0000, 0.0000, 0.3860) x4  4 Al 2.93

Results
Calculated total energy (eV per atom): -2.868
Density (Mg/m³): 6.49
Calculated formation energy (kcal/mol of atoms): -0.56
Total moment (μB/f.u.): 0.0
Crystal system: tetragonal


# 2
## SmLuBi (PBE)

Data for crystalline SmLuBi at its relaxed geometry.

abc: 5.1886 5.1886 4.0092
angles: 90.00 90.00 120.00
Closest atoms and distances in Å follow each position.
Space group P3m1 (No. 156)
Unique sites:
Sm (0.0000, 0.0000, 0.0000) x1  3 Bi 3.36, 6 Lu 3.54-3.67
Lu (0.3333, 0.6667, 0.5307) x1  3 Bi 3.05
Bi (0.6667, 0.3333, 0.3819) x1  3 Lu 3.05, 3 Sm 3.36

Results
Calculated total energy (eV per atom): -4.633
Density (Mg/m³): 9.49
Calculated formation energy (kcal/mol of atoms): -5.99
Total moment (μB/f.u.): 0.0
Crystal system: trigonal


# 3
## Y2SeBr (PBE)

Data for crystalline Y2SeBr at its relaxed geometry.

abc: 3.9302 3.9302 23.3623
angles: 90.00 90.00 120.00
Closest atoms and distances in Å follow each position.
Space group R-3m (No. 166, hexagonal axes)
Unique sites:
Y (0.0000, 0.0000, 0.2357) x6  3 Se 2.78
Se (0.0000, 0.0000, 0.5000) x3  6 Y 2.78
Br (0.0000, 0.0000, 0.0000) x3  6 Y 3.22

Results
Calculated total energy (eV per atom): -5.839
Density (Mg/m³): 5.37
Formation energy without anion corrections (eV/atom): -1.318
Total moment (μB/f.u.): 0.0
Crystal system: trigonal


density of number 3 (Y2SeBr)? 5.37 Mg/m³